# Li3NpF8

An optimized crystal structure of Li3NpF8 (PBE-GGA, Alexandria via LeMat-Bulk).

Energy relative to the lowest polymorph listed for this composition: 327 kJ/mol of formula units
SG: P-31m
Size of the total moment: 2.0 μB/cell
Crystal system: trigonal

abc: 4.676 4.676 6.038
angles: 90.00 90.00 120.00
Element x y z (fractional)
Li: 0.000 0.000 0.000
F: 0.303 0.303 0.197
F: 0.667 0.333 0.500
Li: 0.667 0.333 0.000
F: 0.697 0.000 0.197
Li: 0.333 0.667 0.000
F: 0.000 0.303 0.803
Np: 0.000 0.000 0.500
F: 0.303 0.000 0.803
F: 0.333 0.667 0.500
F: 0.000 0.697 0.197
F: 0.697 0.697 0.803

***

# Li3NpF9

An optimized crystal structure of Li3NpF9 (PBE-GGA, Alexandria via LeMat-Bulk).

E: -5.583 eV/atom
SG: Cc
Size of the total moment: 3.3 μB/cell
Crystal system: monoclinic

abc: 7.710 8.390 9.427
angles: 72.32 65.86 62.64
Element x y z (fractional)
F: 0.100 0.688 0.830
Li: 0.224 0.476 0.326
F: 0.761 0.034 0.765
F: 0.539 0.795 0.400
Li: 0.562 0.249 0.744
F: 0.871 0.487 0.853
F: 0.441 0.534 0.265
F: 0.000 0.003 0.994
Li: 0.444 0.749 0.244
F: 0.789 0.987 0.353
Li: 0.028 0.027 0.163
F: 0.002 0.503 0.494
F: 0.464 0.207 0.589
Np: 0.003 0.501 0.995
F: 0.570 0.463 0.723
F: 0.907 0.314 0.160
F: 0.136 0.514 0.136
F: 0.266 0.295 0.900
F: 0.382 0.188 0.330
F: 0.214 0.014 0.636
Np: 0.501 0.001 0.495
F: 0.619 0.814 0.660
Li: 0.974 0.976 0.826
F: 0.740 0.707 0.089
F: 0.244 0.963 0.223
Li: 0.782 0.527 0.663

***

# LiNpF6

An optimized crystal structure of LiNpF6 (PBE-GGA, Alexandria via LeMat-Bulk).

Energy relative to the lowest polymorph listed for this composition: 0 kJ/mol of formula units
SG: Fm-3m
Size of the total moment: 2.0 μB/cell
Crystal system: cubic

abc: 5.848 5.848 5.848
angles: 60.00 60.00 60.00
Element x y z (fractional)
F: 0.749 0.251 0.251
F: 0.251 0.749 0.749
F: 0.251 0.251 0.749
F: 0.749 0.749 0.251
Np: 0.000 0.000 0.000
F: 0.251 0.749 0.251
Li: 0.500 0.500 0.500
F: 0.749 0.251 0.749

***

# LiNpF6

An optimized crystal structure of LiNpF6 (PBE-GGA, Alexandria via LeMat-Bulk).

Energy relative to the lowest polymorph listed for this composition: 15 kJ/mol of formula units
SG: P-31c
Size of the total moment: 4.0 μB/cell
Crystal system: trigonal

abc: 5.223 5.223 9.756
angles: 90.00 90.00 120.00
Element x y z (fractional)
F: 0.333 0.021 0.625
F: 0.667 0.688 0.125
Li: 0.000 0.000 0.500
F: 0.688 0.667 0.625
F: 0.021 0.688 0.375
F: 0.979 0.312 0.625
Np: 0.667 0.333 0.750
Li: 0.000 0.000 0.000
F: 0.021 0.333 0.125
F: 0.688 0.021 0.875
F: 0.312 0.979 0.125
F: 0.312 0.333 0.375
F: 0.667 0.979 0.375
F: 0.333 0.312 0.875
Np: 0.333 0.667 0.250
F: 0.979 0.667 0.875

***

# LiNp2F8

An optimized crystal structure of LiNp2F8 (PBE-GGA, Alexandria via LeMat-Bulk).

Energy relative to the lowest polymorph listed for this composition: 0 kJ/mol of formula units
SG: Cm
Size of the total moment: 7.0 μB/cell
Crystal system: monoclinic

abc: 4.473 6.511 6.511
angles: 112.68 96.70 96.70
Element x y z (fractional)
F: 0.045 0.274 0.732
F: 0.493 0.678 0.957
F: 0.045 0.732 0.274
F: 0.598 0.328 0.049
F: 0.598 0.049 0.328
Li: 0.546 0.004 0.004
F: 0.817 0.607 0.607
Np: 0.545 0.328 0.679
Np: 0.545 0.679 0.328
F: 0.493 0.957 0.678
F: 0.273 0.398 0.398

***

# LiNpF5

An optimized crystal structure of LiNpF5 (PBE-GGA, Alexandria via LeMat-Bulk).

E: -6.785 eV/atom
SG: P-1
Size of the total moment: 6.0 μB/cell
Crystal system: triclinic

abc: 5.823 5.830 8.369
angles: 106.40 107.35 99.44
Element x y z (fractional)
F: 0.703 0.329 0.563
F: 0.311 0.909 0.153
Np: 0.999 0.001 0.999
Li: 0.423 0.674 0.249
F: 0.918 0.170 0.250
Np: 0.999 0.501 0.499
F: 0.081 0.833 0.749
F: 0.243 0.342 0.653
Li: 0.576 0.329 0.750
F: 0.763 0.643 0.936
F: 0.295 0.673 0.436
F: 0.687 0.093 0.846
F: 0.755 0.660 0.345
F: 0.235 0.360 0.063